RbZnCr2O8 | the Alexandria database | GGA+U | optimized geometry; magnetic moment = 1.081 μB per cell; symmetry = No. 147; theoretical density = 2.99 Mg/m³; calculated total energy = -5.9768 eV per atom
1.0
5.587 0.000 0.000
-2.794 4.839 0.000
0.000 0.000 7.859
Rb Zn Cr O
1 1 2 8
direct
0.000 0.000 0.000
0.000 0.000 0.500
0.333 0.667 0.726
0.667 0.333 0.274
0.168 0.829 0.659
0.171 0.339 0.659
0.333 0.667 0.935
0.339 0.168 0.341
0.661 0.832 0.659
0.667 0.333 0.065
0.829 0.661 0.341
0.832 0.171 0.341